a | Computed, not measured: a relaxed LaVO2 crystal at the GGA+U level of DFT.

## Properties
Calculated volume = 12.86 Å³ per atom

abc: 5.9035 5.9035 5.9035
angles: 90.00 90.00 90.00
Last column: nearest neighbours and their distance in Å.
Space group Fm-3m (No. 225)
Unique sites:
La (0.0000, 0.0000, 0.0000) x4  8 O 2.56
V (0.0000, 0.0000, 0.5000) x4  8 O 2.56
O (0.2500, 0.2500, 0.2500) x8  4 La 2.56, 4 V 2.56


b | Computed, not measured: a relaxed LaVO2 crystal at the GGA+U level of DFT.

## Properties
Calculated volume = 17.45 Å³ per atom

abc: 5.1028 5.1028 10.7218
angles: 90.00 90.00 90.00
Last column: nearest neighbours and their distance in Å.
Space group I-42d (No. 122)
Unique sites:
La (0.0000, 0.0000, 0.0000) x4  4 O 2.36
V (0.0000, 0.0000, 0.5000) x4  4 O 2.14
O (0.2120, 0.2500, 0.6250) x8  2 V 2.14, 2 La 2.36


Most stable one: b, least stable one: a.


a | Computed, not measured: a relaxed LaVO2 crystal at the GGA+U level of DFT.

## Properties
Calculated volume = 19.21 Å³ per atom

abc: 3.9427 3.9427 17.1255
angles: 90.00 90.00 120.00
Last column: nearest neighbours and their distance in Å.
Space group R-3m (No. 166, hexagonal axes)
Unique sites:
La (0.0000, 0.0000, 0.0000) x3  6 O 2.48
V (0.0000, 0.0000, 0.5000) x3  2 O 1.87
O (0.0000, 0.0000, 0.3906) x6  1 V 1.87


b | Computed, not measured: a relaxed LaVO2 crystal at the GGA+U level of DFT.

## Properties
Calculated volume = 16.09 Å³ per atom

abc: 3.3980 3.3980 19.3135
angles: 90.00 90.00 120.00
Last column: nearest neighbours and their distance in Å.
Space group R-3m (No. 166, hexagonal axes)
Unique sites:
La (0.0000, 0.0000, 0.0000) x3  2 O 2.26
V (0.0000, 0.0000, 0.5000) x3  6 O 2.19
O (0.0000, 0.0000, 0.1168) x6  3 V 2.19, 1 La 2.26


Most stable one: a, least stable one: b.


a | Computed, not measured: a relaxed LaVZn2O crystal at the GGA+U level of DFT.

## Properties
Calculated volume = 21.66 Å³ per atom

abc: 5.4249 5.4249 3.6795
angles: 90.00 90.00 90.00
Last column: nearest neighbours and their distance in Å.
Space group P4/mmm (No. 123)
Unique sites:
La (0.0000, 0.0000, 0.0000) x1  8 Zn 3.28
V (0.5000, 0.5000, 0.0000) x1  2 O 1.84
Zn (0.0000, 0.5000, 0.5000) x2  2 O 2.71
O (0.5000, 0.5000, 0.5000) x1  2 V 1.84


b | Computed, not measured: a relaxed LaVZn2O crystal at the GGA+U level of DFT.

## Properties
Calculated volume = 25.67 Å³ per atom

abc: 4.7030 4.7030 5.8020
angles: 90.00 90.00 90.00
Last column: nearest neighbours and their distance in Å.
Space group P4/mmm (No. 123)
Unique sites:
La (0.0000, 0.0000, 0.0000) x1  2 V 2.90
V (0.0000, 0.0000, 0.5000) x1  4 Zn 2.35
Zn (0.0000, 0.5000, 0.5000) x2  2 V 2.35
O (0.5000, 0.5000, 0.0000) x1  4 La 3.33


Most stable one: a, least stable one: b.